Below is a relaxed AuSe2I crystal, with properties calculated at the PBE-GGA level.

Structure (POSCAR):
```
AuSe2I
1.0
2.050 1.184 8.138
-2.050 1.184 8.138
0.000 -2.368 8.138
Au Se I
1 2 1
Direct
0.000 0.000 0.000
0.386 0.386 0.386
0.614 0.614 0.614
0.500 0.500 0.500
```

E_form (uncorrected) (eV per atom): 0.05
Total moment (μB per formula unit): 0.00
Final energy (eV/atom): -2.894